a | Material: AgHg
Method: DFT, PBE
State: relaxed

Cell lengths 3.126, 3.126, 4.834 Å; angles 90.00, 90.00, 120.00 degrees
Fractional coordinates of all 2 atoms:
Ag  0.000  0.000  0.000
Hg  0.667  0.333  0.500


b | Material: AgHg
Method: DFT, PBE
State: relaxed

Cell lengths 6.359, 6.359, 6.359 Å; angles 90.00, 90.00, 90.00 degrees
Fractional coordinates of all 8 atoms:
Ag  0.000  0.000  0.000
Ag  0.000  0.500  0.500
Ag  0.500  0.000  0.500
Ag  0.500  0.500  0.000
Hg  0.250  0.250  0.750
Hg  0.250  0.750  0.250
Hg  0.750  0.250  0.250
Hg  0.750  0.750  0.750


Which structure is most stable, and how do the rest compare? From most to least stable: a, b.


a | Material: LiTlAgHg
Method: DFT, PBE
State: relaxed

Cell lengths 6.992, 6.992, 6.992 Å; angles 90.00, 90.00, 90.00 degrees
Fractional coordinates of all 16 atoms:
Li  0.000  0.000  0.000
Li  0.000  0.500  0.500
Li  0.500  0.000  0.500
Li  0.500  0.500  0.000
Tl  0.250  0.250  0.750
Tl  0.250  0.750  0.250
Tl  0.750  0.250  0.250
Tl  0.750  0.750  0.750
Ag  0.250  0.250  0.250
Ag  0.250  0.750  0.750
Ag  0.750  0.250  0.750
Ag  0.750  0.750  0.250
Hg  0.000  0.000  0.500
Hg  0.000  0.500  0.000
Hg  0.500  0.000  0.000
Hg  0.500  0.500  0.500


b | Material: LiTlAgHg
Method: DFT, PBE
State: relaxed

Cell lengths 6.933, 6.933, 6.933 Å; angles 90.00, 90.00, 90.00 degrees
Fractional coordinates of all 16 atoms:
Li  0.000  0.000  0.000
Li  0.000  0.500  0.500
Li  0.500  0.000  0.500
Li  0.500  0.500  0.000
Tl  0.250  0.250  0.250
Tl  0.250  0.750  0.750
Tl  0.750  0.250  0.750
Tl  0.750  0.750  0.250
Ag  0.000  0.000  0.500
Ag  0.000  0.500  0.000
Ag  0.500  0.000  0.000
Ag  0.500  0.500  0.500
Hg  0.250  0.250  0.750
Hg  0.250  0.750  0.250
Hg  0.750  0.250  0.250
Hg  0.750  0.750  0.750


Which structure is most stable, and how do the rest compare? From most to least stable: b, a.


a | Material: LuMgAgHg
Method: DFT, PBE
State: relaxed

Cell lengths 6.927, 6.927, 6.927 Å; angles 90.00, 90.00, 90.00 degrees
Fractional coordinates of all 16 atoms:
Lu  0.000  0.000  0.000
Lu  0.000  0.500  0.500
Lu  0.500  0.000  0.500
Lu  0.500  0.500  0.000
Mg  0.250  0.250  0.750
Mg  0.250  0.750  0.250
Mg  0.750  0.250  0.250
Mg  0.750  0.750  0.750
Ag  0.250  0.250  0.250
Ag  0.250  0.750  0.750
Ag  0.750  0.250  0.750
Ag  0.750  0.750  0.250
Hg  0.000  0.000  0.500
Hg  0.000  0.500  0.000
Hg  0.500  0.000  0.000
Hg  0.500  0.500  0.500


b | Material: LuMgAgHg
Method: DFT, PBE
State: relaxed

Cell lengths 6.948, 6.948, 6.948 Å; angles 90.00, 90.00, 90.00 degrees
Fractional coordinates of all 16 atoms:
Lu  0.000  0.000  0.000
Lu  0.000  0.500  0.500
Lu  0.500  0.000  0.500
Lu  0.500  0.500  0.000
Mg  0.250  0.250  0.250
Mg  0.250  0.750  0.750
Mg  0.750  0.250  0.750
Mg  0.750  0.750  0.250
Ag  0.000  0.000  0.500
Ag  0.000  0.500  0.000
Ag  0.500  0.000  0.000
Ag  0.500  0.500  0.500
Hg  0.250  0.250  0.750
Hg  0.250  0.750  0.250
Hg  0.750  0.250  0.250
Hg  0.750  0.750  0.750


c | Material: LuMgAgHg
Method: DFT, PBE
State: relaxed

Cell lengths 6.977, 6.977, 6.977 Å; angles 90.00, 90.00, 90.00 degrees
Fractional coordinates of all 16 atoms:
Lu  0.000  0.000  0.000
Lu  0.000  0.500  0.500
Lu  0.500  0.000  0.500
Lu  0.500  0.500  0.000
Mg  0.000  0.000  0.500
Mg  0.000  0.500  0.000
Mg  0.500  0.000  0.000
Mg  0.500  0.500  0.500
Ag  0.250  0.250  0.250
Ag  0.250  0.750  0.750
Ag  0.750  0.250  0.750
Ag  0.750  0.750  0.250
Hg  0.250  0.250  0.750
Hg  0.250  0.750  0.250
Hg  0.750  0.250  0.250
Hg  0.750  0.750  0.750


Which structure is most stable, and how do the rest compare? From most to least stable: c, b, a.


a | Material: AgHgPO
Method: DFT, PBE
State: relaxed

Cell lengths 4.421, 4.421, 7.972 Å; angles 90.00, 90.00, 90.00 degrees
Fractional coordinates of all 8 atoms:
Ag  0.250  0.750  0.000
Ag  0.750  0.250  0.000
Hg  0.250  0.250  0.424
Hg  0.750  0.750  0.576
P  0.250  0.250  0.854
P  0.750  0.750  0.146
O  0.250  0.750  0.500
O  0.750  0.250  0.500


b | Material: AgHgPO
Method: DFT, PBE
State: relaxed

Cell lengths 3.887, 7.424, 5.092 Å; angles 90.00, 90.00, 90.00 degrees
Fractional coordinates of all 8 atoms:
Ag  0.000  0.234  0.000
Ag  0.000  0.766  0.500
Hg  0.500  0.319  0.506
Hg  0.500  0.681  0.006
P  0.000  0.087  0.492
P  0.000  0.913  0.992
O  0.500  0.389  0.004
O  0.500  0.611  0.504


Which structure is most stable, and how do the rest compare? From most to least stable: b, a.


a | Material: AgHgPO
Method: DFT, PBE
State: relaxed

Cell lengths 4.389, 4.389, 7.876 Å; angles 90.00, 90.00, 90.00 degrees
Fractional coordinates of all 8 atoms:
Ag  0.250  0.750  0.000
Ag  0.750  0.250  0.000
Hg  0.250  0.250  0.420
Hg  0.750  0.750  0.580
P  0.250  0.250  0.848
P  0.750  0.750  0.152
O  0.250  0.750  0.500
O  0.750  0.250  0.500


b | Material: AgHgPO
Method: DFT, PBE
State: relaxed

Cell lengths 4.340, 4.340, 8.951 Å; angles 90.00, 90.00, 90.00 degrees
Fractional coordinates of all 8 atoms:
Ag  0.250  0.250  0.053
Ag  0.750  0.750  0.947
Hg  0.250  0.750  0.500
Hg  0.750  0.250  0.500
P  0.250  0.250  0.329
P  0.750  0.750  0.671
O  0.250  0.750  0.000
O  0.750  0.250  0.000


c | Material: AgHgPO
Method: DFT, PBE
State: relaxed

Cell lengths 3.298, 7.131, 6.604 Å; angles 90.00, 90.00, 90.00 degrees
Fractional coordinates of all 8 atoms:
Ag  0.000  0.137  0.000
Ag  0.000  0.863  0.500
Hg  0.500  0.329  0.453
Hg  0.500  0.671  0.953
P  0.500  0.338  0.838
P  0.500  0.662  0.338
O  0.000  0.135  0.333
O  0.000  0.865  0.833


Which structure is most stable, and how do the rest compare? From most to least stable: c, a, b.


a | Material: AgHgSO
Method: DFT, PBE
State: relaxed

Cell lengths 6.235, 7.618, 6.009 Å; angles 90.00, 90.00, 90.00 degrees
Fractional coordinates of all 16 atoms:
Ag  0.250  0.090  0.000
Ag  0.250  0.090  0.500
Ag  0.750  0.910  0.000
Ag  0.750  0.910  0.500
Hg  0.094  0.641  0.248
Hg  0.406  0.641  0.748
Hg  0.594  0.359  0.248
Hg  0.906  0.359  0.748
S  0.038  0.325  0.249
S  0.462  0.325  0.749
S  0.538  0.675  0.249
S  0.962  0.675  0.749
O  0.027  0.920  0.250
O  0.473  0.920  0.750
O  0.527  0.080  0.250
O  0.973  0.080  0.750


b | Material: AgHgSO
Method: DFT, PBE
State: relaxed

Cell lengths 6.225, 6.744, 6.755 Å; angles 90.00, 90.00, 90.00 degrees
Fractional coordinates of all 16 atoms:
Ag  0.016  0.087  0.331
Ag  0.484  0.913  0.831
Ag  0.516  0.413  0.669
Ag  0.984  0.587  0.169
Hg  0.026  0.207  0.801
Hg  0.474  0.793  0.301
Hg  0.526  0.293  0.199
Hg  0.974  0.707  0.699
S  0.175  0.435  0.465
S  0.325  0.565  0.965
S  0.675  0.065  0.535
S  0.825  0.935  0.035
O  0.191  0.958  0.652
O  0.309  0.042  0.152
O  0.691  0.542  0.348
O  0.809  0.458  0.848


Which structure is most stable, and how do the rest compare? From most to least stable: a, b.


a | Material: AgHgSO
Method: DFT, PBE
State: relaxed

Cell lengths 3.402, 13.448, 5.894 Å; angles 90.00, 90.00, 90.00 degrees
Fractional coordinates of all 16 atoms:
Ag  0.000  0.073  0.250
Ag  0.000  0.927  0.750
Ag  0.500  0.427  0.750
Ag  0.500  0.573  0.250
Hg  0.000  0.362  0.250
Hg  0.000  0.638  0.750
Hg  0.500  0.138  0.750
Hg  0.500  0.862  0.250
S  0.000  0.291  0.750
S  0.000  0.709  0.250
S  0.500  0.209  0.250
S  0.500  0.791  0.750
O  0.000  0.500  0.000
O  0.000  0.500  0.500
O  0.500  0.000  0.000
O  0.500  0.000  0.500


b | Material: AgHgSO
Method: DFT, PBE
State: relaxed

Cell lengths 7.466, 9.910, 7.774 Å; angles 90.00, 90.00, 90.00 degrees
Fractional coordinates of all 32 atoms:
Ag  0.004  0.242  0.246
Ag  0.004  0.258  0.746
Ag  0.496  0.742  0.246
Ag  0.496  0.758  0.746
Ag  0.504  0.242  0.254
Ag  0.504  0.258  0.754
Ag  0.996  0.742  0.254
Ag  0.996  0.758  0.754
Hg  0.248  0.522  0.997
Hg  0.248  0.978  0.497
Hg  0.252  0.022  0.997
Hg  0.252  0.478  0.497
Hg  0.748  0.522  0.503
Hg  0.748  0.978  0.003
Hg  0.752  0.022  0.503
Hg  0.752  0.478  0.003
S  0.038  0.008  0.744
S  0.038  0.492  0.244
S  0.462  0.508  0.744
S  0.462  0.992  0.244
S  0.538  0.008  0.756
S  0.538  0.492  0.256
S  0.962  0.508  0.756
S  0.962  0.992  0.256
O  0.248  0.742  0.392
O  0.248  0.758  0.892
O  0.252  0.242  0.392
O  0.252  0.258  0.892
O  0.748  0.742  0.108
O  0.748  0.758  0.608
O  0.752  0.242  0.108
O  0.752  0.258  0.608


Which structure is most stable, and how do the rest compare? From most to least stable: b, a.


a | Material: AgHgTeO
Method: DFT, PBE
State: relaxed

Cell lengths 3.791, 13.589, 6.459 Å; angles 90.00, 90.00, 90.00 degrees
Fractional coordinates of all 16 atoms:
Ag  0.000  0.001  0.000
Ag  0.000  0.999  0.500
Ag  0.500  0.499  0.500
Ag  0.500  0.501  0.000
Hg  0.000  0.297  0.223
Hg  0.000  0.703  0.723
Hg  0.500  0.203  0.723
Hg  0.500  0.797  0.223
Te  0.000  0.366  0.752
Te  0.000  0.634  0.252
Te  0.500  0.134  0.252
Te  0.500  0.866  0.752
O  0.000  0.106  0.749
O  0.000  0.894  0.249
O  0.500  0.394  0.249
O  0.500  0.606  0.749


b | Material: AgHgTeO
Method: DFT, PBE
State: relaxed

Cell lengths 6.962, 12.139, 8.647 Å; angles 90.00, 90.00, 90.00 degrees
Fractional coordinates of all 32 atoms:
Ag  0.023  0.250  0.243
Ag  0.023  0.250  0.743
Ag  0.477  0.750  0.243
Ag  0.477  0.750  0.743
Ag  0.523  0.250  0.257
Ag  0.523  0.250  0.757
Ag  0.977  0.750  0.257
Ag  0.977  0.750  0.757
Hg  0.198  0.615  0.034
Hg  0.198  0.885  0.534
Hg  0.302  0.115  0.034
Hg  0.302  0.385  0.534
Hg  0.698  0.615  0.466
Hg  0.698  0.885  0.966
Hg  0.802  0.115  0.466
Hg  0.802  0.385  0.966
Te  0.044  0.006  0.768
Te  0.044  0.494  0.268
Te  0.456  0.506  0.768
Te  0.456  0.994  0.268
Te  0.544  0.006  0.732
Te  0.544  0.494  0.232
Te  0.956  0.506  0.732
Te  0.956  0.994  0.232
O  0.235  0.743  0.391
O  0.235  0.757  0.891
O  0.265  0.243  0.391
O  0.265  0.257  0.891
O  0.735  0.743  0.109
O  0.735  0.757  0.609
O  0.765  0.243  0.109
O  0.765  0.257  0.609


Which structure is most stable, and how do the rest compare? From most to least stable: a, b.


a | Material: PaAgHg
Method: DFT, PBE
State: relaxed

Cell lengths 6.741, 6.741, 6.741 Å; angles 90.00, 90.00, 90.00 degrees
Fractional coordinates of all 12 atoms:
Pa  0.000  0.000  0.000
Pa  0.000  0.500  0.500
Pa  0.500  0.000  0.500
Pa  0.500  0.500  0.000
Ag  0.250  0.250  0.750
Ag  0.250  0.750  0.250
Ag  0.750  0.250  0.250
Ag  0.750  0.750  0.750
Hg  0.000  0.000  0.500
Hg  0.000  0.500  0.000
Hg  0.500  0.000  0.000
Hg  0.500  0.500  0.500


b | Material: PaAgHg
Method: DFT, PBE
State: relaxed

Cell lengths 6.979, 6.979, 6.979 Å; angles 90.00, 90.00, 90.00 degrees
Fractional coordinates of all 12 atoms:
Pa  0.000  0.000  0.000
Pa  0.000  0.500  0.500
Pa  0.500  0.000  0.500
Pa  0.500  0.500  0.000
Ag  0.250  0.250  0.750
Ag  0.250  0.750  0.250
Ag  0.750  0.250  0.250
Ag  0.750  0.750  0.750
Hg  0.250  0.250  0.250
Hg  0.250  0.750  0.750
Hg  0.750  0.250  0.750
Hg  0.750  0.750  0.250


Which structure is most stable, and how do the rest compare? From most to least stable: a, b.


a | Material: AgHg2Pd2
Method: DFT, PBE
State: relaxed

Cell lengths 4.081, 4.081, 12.226 Å; angles 90.00, 90.00, 90.00 degrees
Fractional coordinates of all 10 atoms:
Ag  0.000  0.000  0.000
Ag  0.500  0.500  0.500
Hg  0.000  0.000  0.393
Hg  0.000  0.000  0.607
Hg  0.500  0.500  0.107
Hg  0.500  0.500  0.893
Pd  0.000  0.500  0.250
Pd  0.000  0.500  0.750
Pd  0.500  0.000  0.250
Pd  0.500  0.000  0.750


b | Material: AgHg2Pd2
Method: DFT, PBE
State: relaxed

Cell lengths 4.201, 4.201, 11.885 Å; angles 90.00, 90.00, 90.00 degrees
Fractional coordinates of all 10 atoms:
Ag  0.000  0.000  0.000
Ag  0.500  0.500  0.500
Hg  0.000  0.500  0.250
Hg  0.000  0.500  0.750
Hg  0.500  0.000  0.250
Hg  0.500  0.000  0.750
Pd  0.000  0.000  0.395
Pd  0.000  0.000  0.605
Pd  0.500  0.500  0.105
Pd  0.500  0.500  0.895


Which structure is most stable, and how do the rest compare? From most to least stable: a, b.


a | Material: PmAgHg
Method: DFT, PBE
State: relaxed

Cell lengths 4.935, 4.935, 3.421 Å; angles 90.00, 90.00, 120.00 degrees
Fractional coordinates of all 3 atoms:
Pm  0.000  0.000  0.000
Ag  0.333  0.667  0.500
Hg  0.667  0.333  0.500


b | Material: PmAgHg
Method: DFT, PBE
State: relaxed

Cell lengths 6.898, 6.898, 6.898 Å; angles 90.00, 90.00, 90.00 degrees
Fractional coordinates of all 12 atoms:
Pm  0.000  0.000  0.000
Pm  0.000  0.500  0.500
Pm  0.500  0.000  0.500
Pm  0.500  0.500  0.000
Ag  0.250  0.250  0.750
Ag  0.250  0.750  0.250
Ag  0.750  0.250  0.250
Ag  0.750  0.750  0.750
Hg  0.000  0.000  0.500
Hg  0.000  0.500  0.000
Hg  0.500  0.000  0.000
Hg  0.500  0.500  0.500


Which structure is most stable, and how do the rest compare? From most to least stable: a, b.